[1]
VASP calculation (PBE-GGA) on Ta2SiTc after structural relaxation.

Cell: 3.326 3.326 5.778 Å, 90.00 90.00 90.00°
Fractional coordinates of all 4 atoms:
Ta1 0.000 0.000 0.239
Ta2 0.000 0.000 0.761
Si1 0.500 0.500 0.000
Tc1 0.500 0.500 0.500

Summary:
E_form (uncorrected) = -0.255 eV per atom

***

[2]
VASP calculation (PBE-GGA) on SrAcMg2Sn2 after structural relaxation.

Cell: 5.031 5.031 8.268 Å, 90.00 90.00 120.00°
Fractional coordinates of all 6 atoms:
Sr1 0.000 0.000 0.000
Ac1 0.000 0.000 0.500
Mg1 0.333 0.667 0.241
Mg2 0.667 0.333 0.759
Sn1 0.333 0.667 0.753
Sn2 0.667 0.333 0.247

Summary:
Formation energy = -50 kJ/mol of atoms

***

[3]
VASP calculation (PBE-GGA) on OsC2 after structural relaxation.

Cell: 3.601 3.601 3.601 Å, 126.87 126.87 78.46°
Fractional coordinates of all 3 atoms:
Os1 0.000 0.000 0.000
C1 0.379 0.379 0.000
C2 0.621 0.621 0.000

Summary:
Relative energy among the computed polymorphs = 3.31 eV/f.u.
Formation energy = 161 kJ/mol of atoms

***

[4]
VASP calculation (PBE-GGA) on La2Ga3Ir after structural relaxation.

Cell: 5.836 5.836 7.403 Å, 127.27 127.27 44.78°
Fractional coordinates of all 6 atoms:
La1 0.000 0.000 0.000
La2 0.109 0.109 0.611
Ga1 0.375 0.375 0.200
Ga2 0.405 0.405 0.606
Ga3 0.732 0.732 0.393
Ir1 0.714 0.714 0.002

Summary:
Relative energy among the computed polymorphs = 0.00 eV/f.u.
Formation energy = -68 kJ/mol of atoms

***

[5]
VASP calculation (PBE-GGA) on TlRuIO2 after structural relaxation.

Cell: 4.150 4.150 5.568 Å, 90.00 90.00 90.00°
Fractional coordinates of all 5 atoms:
Tl1 0.000 0.000 0.000
Ru1 0.500 0.500 0.500
I1 0.500 0.500 0.000
O1 0.000 0.500 0.500
O2 0.500 0.000 0.500

Summary:
Relative energy among the computed polymorphs = 0.00 eV/f.u.
E_form (uncorrected) = -0.111 eV per atom

***

[6]
VASP calculation (PBE-GGA) on ReCl after structural relaxation.

Cell: 6.887 6.887 8.721 Å, 108.46 108.46 26.25°
Fractional coordinates of all 6 atoms:
Re1 0.000 0.000 0.000
Re2 0.538 0.538 0.815
Re3 0.872 0.872 0.731
Cl1 0.321 0.321 0.503
Cl2 0.518 0.518 0.231
Cl3 0.674 0.674 0.703

Summary:
Relative energy among the computed polymorphs = 0.62 eV/f.u.
E_form (uncorrected) = 0.201 eV per atom

***

[7]
VASP calculation (PBE-GGA) on YThGaIr after structural relaxation.

Cell: 5.075 5.075 5.075 Å, 60.00 60.00 60.00°
Fractional coordinates of all 4 atoms:
Y1 0.000 0.000 0.000
Th1 0.500 0.500 0.500
Ga1 0.250 0.250 0.250
Ir1 0.750 0.750 0.750

Summary:
Formation energy = -56 kJ/mol of atoms

***

[8]
VASP calculation (PBE-GGA) on W2AuSe after structural relaxation.

Cell: 2.923 4.187 5.658 Å, 90.00 101.48 90.00°
Fractional coordinates of all 4 atoms:
W1 0.075 0.000 0.256
W2 0.925 0.000 0.744
Au1 0.500 0.500 0.000
Se1 0.000 0.500 0.500

Summary:
E_form (uncorrected) = 0.657 eV per atom

***

[9]
VASP calculation (PBE-GGA) on LiGdZnPt after structural relaxation.

Cell: 4.706 4.706 4.706 Å, 60.00 60.00 60.00°
Fractional coordinates of all 4 atoms:
Li1 0.000 0.000 0.000
Gd1 0.750 0.750 0.750
Zn1 0.250 0.250 0.250
Pt1 0.500 0.500 0.500

Summary:
Formation energy = -59 kJ/mol of atoms

***

[10]
VASP calculation (PBE-GGA) on LaNdPu2P4 after structural relaxation.

Cell: 7.045 4.070 7.048 Å, 90.00 90.05 90.00°
Fractional coordinates of all 8 atoms:
La1 0.000 0.000 0.000
Nd1 0.500 0.500 0.000
Pu1 0.000 0.000 0.500
Pu2 0.500 0.500 0.500
P1 0.170 0.500 0.732
P2 0.337 0.000 0.265
P3 0.663 0.000 0.735
P4 0.830 0.500 0.268

Summary:
Formation energy = -108 kJ/mol of atoms

***

[11]
VASP calculation (PBE-GGA) on TmPu2Sc4 after structural relaxation.

Cell: 5.891 6.146 6.254 Å, 79.23 62.69 64.78°
Fractional coordinates of all 7 atoms:
Tm1 0.000 0.000 0.000
Pu1 0.239 0.505 0.520
Pu2 0.761 0.495 0.480
Sc1 0.304 0.392 0.002
Sc2 0.308 0.001 0.384
Sc3 0.692 0.999 0.616
Sc4 0.696 0.608 0.998

Summary:
Formation energy = 21 kJ/mol of atoms

***

[12]
VASP calculation (PBE-GGA) on TbPrErSc after structural relaxation.

Cell: 5.586 5.586 5.586 Å, 60.00 60.00 60.00°
Fractional coordinates of all 4 atoms:
Tb1 0.000 0.000 0.000
Pr1 0.500 0.500 0.500
Er1 0.750 0.750 0.750
Sc1 0.250 0.250 0.250

Summary:
Relative energy among the computed polymorphs = 0.18 eV/f.u.
Formation energy = 10 kJ/mol of atoms

***

| no. | volume (Å³/atom) |
| --- | --- |
| 1 | 16.0 |
| 2 | 30.2 |
| 3 | 9.6 |
| 4 | 22.4 |
| 5 | 19.2 |
| 6 | 28.8 |
| 7 | 23.1 |
| 8 | 17.0 |
| 9 | 18.4 |
| 10 | 25.3 |
| 11 | 26.0 |
| 12 | 30.8 |